Tm3BiPt: optimized geometry, PBE-GGA.

```
10
Lattice="7.732 -2.091 0.000 7.732 2.091 0.000 -0.346 0.000 8.480" Properties=species:S:1:pos:R:3 pbc="T T T"
Tm 0.672 0.000 1.768
Tm 3.649 0.000 6.648
Tm 5.893 0.000 3.811
Tm 9.226 0.000 4.669
Tm 11.469 0.000 1.832
Tm 14.446 0.000 6.712
Bi 6.012 0.000 0.620
Bi 9.107 0.000 7.860
Pt 2.899 0.000 3.518
Pt 12.220 0.000 4.961
```

## Properties
- magnetic moment (μB per formula unit) = 0.000
- energy of formation from the pure elements (meV per atom) = -835
- space-group type = C2/m, No. 12
- calculated total energy (eV per atom) = -5.50



Tm6BiPt: optimized geometry, PBE-GGA.

```
8
Lattice="6.815 0.000 0.000 -3.406 5.908 0.000 -3.402 -1.970 6.462" Properties=species:S:1:pos:R:3 pbc="T T T"
Tm -0.893 -0.080 1.712
Tm -1.321 3.769 1.712
Tm -2.217 1.717 4.751
Tm 2.225 2.220 1.711
Tm 1.329 0.169 4.751
Tm 0.901 4.017 4.750
Bi 3.408 0.000 0.000
Pt 0.004 1.969 3.231
```

## Properties
- magnetic moment (μB per formula unit) = 0.000
- energy of formation from the pure elements (meV per atom) = -289
- space-group type = P-1, No. 2
- calculated total energy (eV per atom) = -4.88



Tm8Bi2Pt: optimized geometry, PBE-GGA.

```
11
Lattice="9.337 -2.355 0.000 9.337 2.355 0.000 -0.529 0.000 7.126" Properties=species:S:1:pos:R:3 pbc="T T T"
Tm 0.067 0.000 1.671
Tm 3.783 0.000 2.539
Tm 6.181 0.000 6.699
Tm 7.321 0.000 3.341
Tm 10.824 0.000 3.786
Tm 11.965 0.000 0.427
Tm 14.362 0.000 4.588
Tm 18.079 0.000 5.455
Bi 2.954 0.000 5.653
Bi 15.191 0.000 1.473
Pt 9.337 0.000 0.000
```

## Properties
- magnetic moment (μB per formula unit) = 0.000
- energy of formation from the pure elements (meV per atom) = -478
- space-group type = C2/m, No. 12
- calculated total energy (eV per atom) = -4.98



Tm4Bi2Pt: optimized geometry, PBE-GGA.

```
14
Lattice="7.835 0.000 0.000 0.000 12.240 0.000 0.000 0.000 4.356" Properties=species:S:1:pos:R:3 pbc="T T T"
Tm 1.058 2.495 0.000
Tm 1.620 11.519 2.178
Tm 2.298 5.398 2.178
Tm 2.859 8.615 0.000
Tm 4.976 3.625 0.000
Tm 5.537 6.842 2.178
Tm 6.216 0.722 2.178
Tm 6.777 9.746 0.000
Bi 0.597 8.170 2.178
Bi 3.320 2.050 2.178
Bi 4.515 10.190 2.178
Bi 7.238 4.070 2.178
Pt 0.000 0.000 0.000
Pt 3.918 6.120 0.000
```

## Properties
- magnetic moment (μB per formula unit) = 0.000
- energy of formation from the pure elements (meV per atom) = -794
- space-group type = Pbam, No. 55
- calculated total energy (eV per atom) = -5.32



TmBiPt: optimized geometry, PBE-GGA.

```
3
Lattice="0.000 3.347 3.347 3.347 0.000 3.347 3.347 3.347 0.000" Properties=species:S:1:pos:R:3 pbc="T T T"
Tm 0.000 0.000 0.000
Bi 3.347 3.347 3.347
Pt 5.020 5.020 5.020
```

## Properties
- magnetic moment (μB per formula unit) = 0.000
- energy of formation from the pure elements (meV per atom) = -1028
- space-group type = F-43m, No. 216
- calculated total energy (eV per atom) = -5.83



Tm5Bi2Pt: optimized geometry, PBE-GGA.

```
16
Lattice="7.979 0.000 0.000 0.000 12.274 0.000 0.000 0.000 4.528" Properties=species:S:1:pos:R:3 pbc="T T T"
Tm 0.000 0.000 0.000
Tm 1.145 3.663 0.000
Tm 1.442 6.938 2.264
Tm 2.548 0.801 2.264
Tm 2.845 9.800 0.000
Tm 3.989 6.137 0.000
Tm 5.134 2.474 0.000
Tm 5.431 11.472 2.264
Tm 6.537 5.335 2.264
Tm 6.834 8.611 0.000
Bi 0.554 10.158 2.264
Bi 3.436 4.021 2.264
Bi 4.543 8.252 2.264
Bi 7.425 2.116 2.264
Pt 0.000 6.137 0.000
Pt 3.989 0.000 0.000
```

## Properties
- magnetic moment (μB per formula unit) = 0.000
- energy of formation from the pure elements (meV per atom) = -764
- space-group type = Pbam, No. 55
- calculated total energy (eV per atom) = -5.28



Q: Among the records above, which one has the lowest calculated total energy?
A: TmBiPt



Q: Among the records above, which one has the lowest energy of formation from the pure elements?
A: TmBiPt